Record 1
A relaxed Y6C2S crystal, computed with PBE.

Cell: 16.003 3.684 7.573 Å, 90.00 103.17 90.00°
Space group C2/m (No. 12)
Asymmetric unit:
Y: 0.010 0.000 0.265 (multiplicity 4)
Y: 0.170 0.500 0.564 (multiplicity 4)
Y: 0.173 0.500 0.117 (multiplicity 4)
C: 0.168 0.000 0.336 (multiplicity 4)
S: 0.000 0.500 0.000 (multiplicity 2)

***

Record 2
A relaxed Mg12GaPb6 crystal, computed with PBE.

Output
E_form = 0.0117 eV per atom
ΔE to the lowest computed polymorph = 0.000 eV/atom

Cell: 11.4484 11.4484 12.7953 Å, 90.00 90.00 120.00°
Space group R-3 (No. 148, hexagonal axes)
Asymmetric unit:
Mg: 0.0447 0.1797 0.3213 (multiplicity 18)
Mg: 0.0580 0.8598 0.9061 (multiplicity 18)
Ga: 0.0000 0.0000 0.5000 (multiplicity 3)
Pb: 0.0135 0.4218 0.2077 (multiplicity 18)

***

Record 3
A relaxed CsTbOs2O8 crystal, computed with PBE.

Cell: 6.0429 6.0429 8.5100 Å, 90.00 90.00 120.00°
Space group P-3 (No. 147)
Asymmetric unit:
Cs: 0.0000 0.0000 0.0000 (multiplicity 1)
Tb: 0.0000 0.0000 0.5000 (multiplicity 1)
Os: 0.3333 0.6667 0.7364 (multiplicity 2)
O: 0.1521 0.3406 0.6634 (multiplicity 6)
O: 0.3333 0.6667 0.9445 (multiplicity 2)

***

Record 4
A relaxed NaCrCuS2 crystal, computed with PBE.

Cell: 6.748 4.918 5.429 Å, 90.00 105.33 90.00°
Space group P2/c (No. 13)
Asymmetric unit:
Na: 0.000 0.223 0.250 (multiplicity 2)
Cr: 0.500 0.499 0.750 (multiplicity 2)
Cu: 0.500 0.000 0.000 (multiplicity 2)
S: 0.262 0.304 0.921 (multiplicity 4)

***

Record 5
A relaxed YInCl crystal, computed with PBE.

Output
ΔE to the lowest computed polymorph = 0.150 eV/atom

Cell: 3.791 6.018 16.149 Å, 90.00 90.00 90.00°
Space group Fmm2 (No. 42)
Asymmetric unit:
Y: 0.000 0.000 0.000 (multiplicity 4)
In: 0.000 0.000 0.654 (multiplicity 4)
Cl: 0.000 0.000 0.381 (multiplicity 4)

***

Record 6
A relaxed Hf2SnS crystal, computed with PBE.

Output
ΔE to the lowest computed polymorph = 0.398 eV/atom

Cell: 6.832 6.832 6.832 Å, 90.00 90.00 90.00°
Space group Fm-3m (No. 225)
Asymmetric unit:
Hf: 0.250 0.250 0.250 (multiplicity 8)
Sn: 0.000 0.000 0.000 (multiplicity 4)
S: 0.000 0.000 0.500 (multiplicity 4)

***

Record 7
A relaxed Li6BiPd8 crystal, computed with PBE.

Output
E_form = -0.2955 eV per atom

Cell: 7.0815 7.0815 16.3130 Å, 90.00 90.00 120.00°
Space group R-3 (No. 148, hexagonal axes)
Asymmetric unit:
Li: 0.0066 0.2354 0.2838 (multiplicity 18)
Bi: 0.0000 0.0000 0.0000 (multiplicity 3)
Pd: 0.0000 0.0000 0.4149 (multiplicity 6)
Pd: 0.0438 0.2632 0.1287 (multiplicity 18)

***

Record 8
A relaxed Nd3PN2 crystal, computed with PBE.

Cell: 3.931 15.913 3.999 Å, 90.00 90.00 90.00°
Space group Imm2 (No. 44)
Asymmetric unit:
Nd: 0.000 0.000 0.000 (multiplicity 2)
Nd: 0.000 0.322 0.920 (multiplicity 4)
P: 0.000 0.500 0.010 (multiplicity 2)
N: 0.000 0.172 0.051 (multiplicity 4)

***

Record 9
A relaxed Tb6PmHoTm2 crystal, computed with PBE.

Output
E_form = 0.1201 eV per atom

Cell: 9.113 14.980 9.490 Å, 90.00 96.72 90.00°
Space group C2/c (No. 15)
Asymmetric unit:
Tb: 0.063 0.183 0.444 (multiplicity 8)
Tb: 0.098 0.391 0.618 (multiplicity 8)
Tb: 0.211 0.226 0.817 (multiplicity 8)
Pm: 0.000 0.028 0.750 (multiplicity 4)
Ho: 0.000 0.410 0.250 (multiplicity 4)
Tm: 0.248 0.448 0.953 (multiplicity 8)

***

Record 10
A relaxed Li2YPaS4 crystal, computed with PBE.

Cell: 6.639 3.854 6.770 Å, 90.00 109.65 90.00°
Space group P2/m (No. 10)
Asymmetric unit:
Li: 0.000 0.000 0.000 (multiplicity 1)
Li: 0.000 0.500 0.500 (multiplicity 1)
Y: 0.500 0.000 0.500 (multiplicity 1)
Pa: 0.500 0.500 0.000 (multiplicity 1)
S: 0.241 0.000 0.745 (multiplicity 2)
S: 0.245 0.500 0.246 (multiplicity 2)

***

Record 11
A relaxed AlTeW2 crystal, computed with PBE.

Output
ΔE to the lowest computed polymorph = 0.000 eV/atom

Cell: 3.366 3.366 6.073 Å, 90.00 90.00 90.00°
Space group P4mm (No. 99)
Asymmetric unit:
Al: 0.000 0.000 0.000 (multiplicity 1)
Te: 0.500 0.500 0.296 (multiplicity 1)
W: 0.000 0.000 0.537 (multiplicity 1)
W: 0.500 0.500 0.812 (multiplicity 1)

***

Record 12
A relaxed La3YHo2Se6 crystal, computed with PBE.

Cell: 7.172 12.465 7.371 Å, 90.00 109.01 90.00°
Space group C2/m (No. 12)
Asymmetric unit:
La: 0.000 0.000 0.000 (multiplicity 2)
La: 0.000 0.334 0.000 (multiplicity 4)
Y: 0.000 0.500 0.500 (multiplicity 2)
Ho: 0.000 0.167 0.500 (multiplicity 4)
Se: 0.241 0.000 0.730 (multiplicity 4)
Se: 0.244 0.332 0.730 (multiplicity 8)

***

| no. | D(E_F) (states/eV/f.u.) | energy (eV per atom) |
| --- | --- | --- |
| 1 | 5.637 | -7.461 |
| 2 | 8.604 | -2.326 |
| 3 | 2.647 | -7.198 |
| 4 | 2.102 | -5.183 |
| 5 | 2.709 | -4.472 |
| 6 | 7.194 | -7.374 |
| 7 | 5.948 | -4.089 |
| 8 | 0.377 | -7.304 |
| 9 | 14.636 | -4.485 |
| 10 | 5.821 | -6.170 |
| 11 | 1.664 | -7.905 |
| 12 | 6.412 | -6.154 |